Record 1
P2RuWO, single point on PBEsol structure, DFT SCAN; electronic total energy = -1.91334 Ry per atom; SG = No. 123; total magnetic moment = 2.2 μB/cell
1.0
4.723 0.000 0.000
0.000 4.723 0.000
0.000 0.000 3.666
P Ru W O
2 1 1 1
Direct
0.000 0.500 0.000 P
0.500 0.000 0.000 P
0.000 0.000 0.500 Ru
0.500 0.500 0.000 W
0.500 0.500 0.500 O

***

Record 2
Cd2NiRh, single point on PBEsol structure, DFT SCAN; electronic total energy = -2.02516 Ry per atom; calculated formation energy = 140 meV/atom; SG = No. 160; total magnetic moment = 1.3 μB/cell
1.0
1.416 0.818 9.050
-1.416 0.818 9.050
0.000 -1.636 9.050
Cd Ni Rh
2 1 1
Direct
0.000 0.000 0.000 Cd
0.234 0.234 0.234 Cd
0.488 0.488 0.488 Ni
0.751 0.751 0.751 Rh

***

Record 3
LiInO3, single point on PBEsol structure, DFT SCAN; electronic total energy = -0.84631 Ry per atom; SG = No. 221; total magnetic moment = 2.0 μB/cell
1.0
3.611 0.000 0.000
0.000 3.611 0.000
0.000 0.000 3.611
Li In O
1 1 3
Direct
0.000 0.000 0.000 Li
0.500 0.500 0.500 In
0.000 0.000 0.500 O
0.000 0.500 0.000 O
0.500 0.000 0.000 O

***

Record 4
CuPt, single point on PBEsol structure, DFT SCAN; electronic total energy = -3.14752 Ry per atom; calculated formation energy = -128 meV/atom; SG = No. 1; total magnetic moment = 0.0 μB/cell
1.0
4.618 0.000 0.000
1.614 5.065 0.000
1.570 1.000 6.840
Cu Pt
6 6
Direct
0.000 0.000 0.000 Cu
0.001 0.328 0.665 Cu
0.004 0.161 0.325 Cu
0.006 0.489 0.002 Cu
0.512 0.493 0.496 Cu
0.514 0.326 0.162 Cu
0.010 0.827 0.665 Pt
0.015 0.644 0.329 Pt
0.493 0.171 0.832 Pt
0.504 0.009 0.491 Pt
0.508 0.659 0.835 Pt
0.508 0.827 0.166 Pt

***

Record 5
ZnCd2Ag, single point on PBEsol structure, DFT SCAN; electronic total energy = -1.93953 Ry per atom; calculated formation energy = 39 meV/atom; SG = No. 25; total magnetic moment = 0.0 μB/cell
1.0
3.058 0.000 0.000
0.000 4.018 0.000
0.000 0.000 5.793
Zn Cd Ag
1 2 1
Direct
0.000 0.000 0.000 Zn
0.000 0.000 0.480 Cd
0.500 0.500 0.749 Cd
0.500 0.500 0.230 Ag

***

Record 6
Sr2LaSi, single point on PBEsol structure, DFT SCAN; electronic total energy = -1.81149 Ry per atom; SG = No. 38; total magnetic moment = 0.5 μB/cell
1.0
4.084 0.000 0.000
0.000 2.194 8.862
0.000 -2.194 8.862
Sr La Si
2 1 1
Direct
0.000 0.000 0.000 Sr
0.500 0.324 0.324 Sr
0.500 0.655 0.655 La
0.000 0.179 0.179 Si

***

Record 7
K2MnW, single point on PBEsol structure, DFT SCAN; electronic total energy = -1.85747 Ry per atom; calculated formation energy = 878 meV/atom; SG = No. 71; excess energy over the best structure of this formula in the dataset = 12.4 meV/atom; total magnetic moment = 1.6 μB/cell
1.0
-1.479 1.938 10.284
1.479 -1.938 10.284
1.479 1.938 -10.284
K Mn W
2 1 1
Direct
0.148 0.148 0.000 K
0.852 0.852 0.000 K
0.000 0.500 0.500 Mn
0.500 0.000 0.500 W

***

Record 8
Er2CoIr, single point on PBEsol structure, DFT SCAN; electronic total energy = -3.52979 Ry per atom; calculated formation energy = -754 meV/atom; SG = No. 225; total magnetic moment = 0.9 μB/cell
1.0
0.000 3.305 3.305
3.305 0.000 3.305
3.305 3.305 0.000
Er Co Ir
2 1 1
Direct
0.250 0.250 0.250 Er
0.750 0.750 0.750 Er
0.000 0.000 0.000 Co
0.500 0.500 0.500 Ir

***

Record 9
HgP2Pd2O8, single point on PBEsol structure, DFT SCAN; electronic total energy = -1.26985 Ry per atom; SG = No. 70; total magnetic moment = 0.0 μB/cell
1.0
0.000 5.722 7.892
3.487 0.000 7.892
3.487 5.722 0.000
Hg P Pd O
2 4 4 16
Direct
0.125 0.125 0.125 Hg
0.875 0.875 0.875 Hg
0.080 0.080 0.670 P
0.330 0.330 0.920 P
0.670 0.670 0.080 P
0.920 0.920 0.330 P
0.000 0.500 0.500 Pd
0.500 0.000 0.500 Pd
0.500 0.500 0.000 Pd
0.500 0.500 0.500 Pd
0.029 0.245 0.497 O
0.093 0.451 0.157 O
0.157 0.798 0.093 O
0.202 0.843 0.549 O
0.245 0.029 0.729 O
0.271 0.503 0.755 O
0.451 0.093 0.798 O
0.497 0.729 0.029 O
0.503 0.271 0.971 O
0.549 0.907 0.202 O
0.729 0.497 0.245 O
0.755 0.971 0.271 O
0.798 0.157 0.451 O
0.843 0.202 0.907 O
0.907 0.549 0.843 O
0.971 0.755 0.503 O

***

Record 10
TlSbBr2, single point on PBEsol structure, DFT SCAN; electronic total energy = -2.74813 Ry per atom; SG = No. 12; total magnetic moment = 0.0 μB/cell
1.0
3.867 -4.692 0.000
3.867 4.692 0.000
-1.505 0.000 3.121
Tl Sb Br
1 1 2
Direct
0.000 0.000 0.000 Tl
0.500 0.500 0.000 Sb
0.000 0.500 0.500 Br
0.500 0.000 0.500 Br

***

Record 11
CuNi2Os, single point on PBEsol structure, DFT SCAN; electronic total energy = -2.16955 Ry per atom; calculated formation energy = 338 meV/atom; SG = No. 35; excess energy over the best structure of this formula in the dataset = 226.0 meV/atom; total magnetic moment = 1.5 μB/cell
1.0
1.352 -2.131 0.000
1.352 2.131 0.000
0.000 0.000 8.291
Cu Ni Os
1 2 1
Direct
0.000 0.000 0.000 Cu
0.000 0.000 0.523 Ni
0.500 0.500 0.759 Ni
0.500 0.500 0.270 Os

***

Record 12
CdPRh2, single point on PBEsol structure, DFT SCAN; electronic total energy = -1.98249 Ry per atom; calculated formation energy = 116 meV/atom; SG = No. 119; excess energy over the best structure of this formula in the dataset = 438.0 meV/atom; total magnetic moment = 0.0 μB/cell
1.0
-1.853 1.853 4.248
1.853 -1.853 4.248
1.853 1.853 -4.248
Cd P Rh
1 1 2
Direct
0.000 0.000 0.000 Cd
0.750 0.250 0.500 P
0.250 0.750 0.500 Rh
0.500 0.500 0.000 Rh